[1]
Density functional theory data (SCAN) for K2Si3SnO9 at its PBEsol-relaxed geometry.

Values from the calculation:
Electronic total energy in eV per formula unit: -179.1
Total magnetic moment in μB/f.u.: 0.00
Formation energy from raw total energies in eV/atom: -2.693

Unit cell a=7.680 b=7.680 c=7.680 alpha=83.21 beta=83.21 gamma=83.21
Sites, in units of the cell vectors:
K 0.225 0.773 0.009
K 0.501 0.501 0.501
K 0.009 0.225 0.773
K 0.773 0.009 0.225
Si 0.980 0.553 0.454
Si 0.454 0.980 0.553
Si 0.105 0.898 0.487
Si 0.898 0.487 0.105
Si 0.553 0.454 0.980
Si 0.487 0.105 0.898
Sn 0.256 0.256 0.256
Sn 0.775 0.775 0.775
O 0.682 0.998 0.896
O 0.649 0.875 0.555
O 0.366 0.077 0.084
O 0.410 0.455 0.153
O 0.317 0.843 0.510
O 0.555 0.649 0.875
O 0.896 0.682 0.998
O 0.084 0.366 0.077
O 0.077 0.084 0.366
O 0.998 0.896 0.682
O 0.375 0.042 0.749
O 0.455 0.153 0.410
O 0.875 0.555 0.649
O 0.749 0.375 0.042
O 0.153 0.410 0.455
O 0.843 0.510 0.317
O 0.510 0.317 0.843
O 0.042 0.749 0.375

[2]
Density functional theory data (SCAN) for TaNiPb2 at its PBEsol-relaxed geometry.

Values from the calculation:
Electronic total energy in eV per formula unit: -231.9
E_form in eV/atom: 0.601
Total magnetic moment in μB/f.u.: 0.00

Unit cell a=3.231 b=4.882 c=4.882 alpha=90.00 beta=90.00 gamma=90.00
Sites, in units of the cell vectors:
Ni 0.500 0.000 0.000
Pb 0.000 0.000 0.500
Pb 0.000 0.500 0.000
Ta 0.500 0.500 0.500

[3]
Density functional theory data (SCAN) for LiNbTe3 at its PBEsol-relaxed geometry.

Values from the calculation:
Electronic total energy in eV per formula unit: -144.6
Total magnetic moment in μB/f.u.: 2.65
Formation energy from raw total energies in eV/atom: 0.528

Unit cell a=4.924 b=4.924 c=4.924 alpha=90.00 beta=90.00 gamma=90.00
Site moments in Bohr magnetons follow the coordinates.
Sites, in units of the cell vectors:
Nb 0.500 0.500 0.500  2.36
Te 0.000 0.500 0.000  -0.13
Te 0.000 0.000 0.500  -0.13
Te 0.500 0.000 0.000  -0.13
Li 0.000 0.000 0.000  0.01

[4]
Density functional theory data (SCAN) for LiZn2F2 at its PBEsol-relaxed geometry.

Values from the calculation:
Electronic total energy in eV per formula unit: -43.0
Total magnetic moment in μB/f.u.: 0.00
Formation energy from raw total energies in eV/atom: -1.293

Unit cell a=3.704 b=3.704 c=5.496 alpha=109.70 beta=109.70 gamma=90.00
Sites, in units of the cell vectors:
Zn 0.375 0.375 0.751
Zn 0.625 0.625 0.249
Li 0.000 0.000 0.000
F 0.250 0.750 0.500
F 0.750 0.250 0.500

[5]
Density functional theory data (SCAN) for Li2CdO at its PBEsol-relaxed geometry.

Values from the calculation:
Electronic total energy in eV per formula unit: -43.4
Total magnetic moment in μB/f.u.: 0.00
Formation energy from raw total energies in eV/atom: -0.491

Unit cell a=4.221 b=4.221 c=4.221 alpha=60.00 beta=60.00 gamma=60.00
Sites, in units of the cell vectors:
Li 0.250 0.250 0.250
Li 0.750 0.750 0.750
O 0.000 0.000 0.000
Cd 0.500 0.500 0.500

[6]
Density functional theory data (SCAN) for Zn2Mo at its PBEsol-relaxed geometry.

Values from the calculation:
Electronic total energy in eV per formula unit: -61.8
E_form in eV/atom: 0.031
Total magnetic moment in μB/f.u.: 0.00

Unit cell a=2.676 b=4.489 c=7.197 alpha=90.00 beta=100.71 gamma=90.00
Sites, in units of the cell vectors:
Mo 0.450 0.250 0.900
Mo 0.550 0.750 0.100
Zn 0.118 0.250 0.237
Zn 0.219 0.750 0.437
Zn 0.781 0.250 0.563
Zn 0.882 0.750 0.763

[7]
Density functional theory data (SCAN) for HgRhSN2 at its PBEsol-relaxed geometry.

Values from the calculation:
Electronic total energy in eV per formula unit: -125.3
Total magnetic moment in μB/f.u.: 0.00
Formation energy from raw total energies in eV/atom: 0.962

Unit cell a=3.750 b=3.750 c=5.287 alpha=90.00 beta=90.00 gamma=90.00
Sites, in units of the cell vectors:
S 0.000 0.000 0.500
Rh 0.000 0.000 0.000
Hg 0.500 0.500 0.500
N 0.000 0.500 0.000
N 0.500 0.000 0.000

[8]
Density functional theory data (SCAN) for CuPt5 at its PBEsol-relaxed geometry.

Values from the calculation:
Electronic total energy in eV per formula unit: -365.9
E_form in eV/atom: 0.039
Total magnetic moment in μB/f.u.: 0.01

Unit cell a=4.545 b=4.712 c=4.712 alpha=120.00 beta=90.00 gamma=90.00
Sites, in units of the cell vectors:
Cu 0.500 0.000 0.000
Pt 0.000 0.333 0.333
Pt 0.000 0.667 0.000
Pt 0.000 0.000 0.667
Pt 0.500 0.333 0.667
Pt 0.500 0.667 0.333